1.
Computed, not measured: crystalline HfPbO3 at its relaxed geometry at the PBE-GGA level of DFT.

Properties
uncorrected energy	-8.26	eV/atom
raw formation energy	-2553.6	meV per atom
symmetry	C2/m, No. 12

Lattice parameters (Å, degrees): 13.846 5.903 5.903 140.36 144.24 35.76
Fractional positions:
Pb1 0.613 0.009 0.991
Pb2 0.387 0.991 0.009
Hf1 0.914 0.953 0.047
Hf2 0.086 0.047 0.953
O1 0.823 0.229 0.771
O2 0.177 0.771 0.229
O3 0.963 0.364 0.636
O4 0.037 0.636 0.364
O5 0.360 0.817 0.183
O6 0.640 0.183 0.817

***

2.
Computed, not measured: crystalline Pm2Ga3Ag2 at its relaxed geometry at the PBE-GGA level of DFT.

Properties
uncorrected energy	-3.95	eV/atom
ΔH_f (0 K)	-3.4	eV per formula unit
symmetry	Cmcm, No. 63

Lattice parameters (Å, degrees): 4.319 7.414 9.802 90.00 102.73 90.00
Fractional positions:
Pm1 0.155 0.250 0.310
Pm2 0.845 0.750 0.690
Pm3 0.943 0.250 0.886
Pm4 0.057 0.750 0.114
Ga1 0.227 0.750 0.454
Ga2 0.773 0.250 0.546
Ga3 0.557 0.422 0.113
Ga4 0.443 0.578 0.887
Ga5 0.443 0.922 0.887
Ga6 0.557 0.078 0.113
Ag1 0.686 0.944 0.373
Ag2 0.314 0.056 0.627
Ag3 0.314 0.444 0.627
Ag4 0.686 0.556 0.373

***

3.
Computed, not measured: crystalline AlTcRhW at its relaxed geometry at the PBE-GGA level of DFT.

Properties
uncorrected energy	-8.93	eV/atom
ΔH_f (0 K)	-1.3	eV per formula unit
symmetry	F-43m, No. 216

Lattice parameters (Å, degrees): 4.365 4.365 4.365 60.00 60.00 60.00
Fractional positions:
Rh1 0.000 0.000 0.000
Tc1 0.500 0.500 0.500
W1 0.250 0.250 0.250
Al1 0.750 0.750 0.750

***

4.
Computed, not measured: crystalline TaAs2IrBr at its relaxed geometry at the PBE-GGA level of DFT.

Properties
uncorrected energy	-5.20	eV/atom
raw formation energy	1140.5	meV per atom
symmetry	P4/mmm, No. 123

Lattice parameters (Å, degrees): 5.011 5.011 4.914 90.00 90.00 90.00
Fractional positions:
As1 0.000 0.500 0.000
As2 0.500 0.000 0.000
Ir1 0.500 0.500 0.500
Br1 0.000 0.000 0.500
Ta1 0.000 0.000 0.000

***

5.
Computed, not measured: crystalline UPaIrRh at its relaxed geometry at the PBE-GGA level of DFT.

Properties
uncorrected energy	-9.86	eV/atom
ΔH_f (0 K)	-2.5	eV per formula unit
symmetry	F-43m, No. 216

Lattice parameters (Å, degrees): 4.684 4.684 4.684 60.00 60.00 60.00
Fractional positions:
Rh1 0.750 0.750 0.750
Pa1 0.250 0.250 0.250
U1 0.000 0.000 0.000
Ir1 0.500 0.500 0.500

***

6.
Computed, not measured: crystalline Y3RuSe at its relaxed geometry at the PBE-GGA level of DFT.

Properties
uncorrected energy	-7.20	eV/atom
raw formation energy	-771.2	meV per atom
symmetry	P-1, No. 2

Lattice parameters (Å, degrees): 4.176 7.057 9.787 74.33 90.04 72.87
Fractional positions:
Y1 0.240 0.909 0.600
Y2 0.559 0.271 0.357
Y3 0.576 0.239 0.783
Y4 0.256 0.877 0.027
Y5 0.824 0.742 0.336
Y6 0.992 0.405 0.047
Ru1 0.630 0.130 0.086
Ru2 0.186 0.018 0.297
Se1 0.020 0.350 0.572
Se2 0.795 0.798 0.811

***

7.
Computed, not measured: crystalline SeCl3O at its relaxed geometry at the PBE-GGA level of DFT.

Properties
uncorrected energy	-2.03	eV/atom
raw formation energy	761.8	meV per atom
symmetry	Pm-3m, No. 221

Lattice parameters (Å, degrees): 4.916 4.916 4.916 90.00 90.00 90.00
Fractional positions:
O1 0.500 0.500 0.500
Se1 0.000 0.000 0.000
Cl1 0.000 0.500 0.000
Cl2 0.000 0.000 0.500
Cl3 0.500 0.000 0.000